Material: LiOs2Pb
Method: DFT, PBE
State: relaxed Values from VASP.

Quantum ESPRESSO input file:
```
&SYSTEM
  ibrav = 0, nat = 4, ntyp = 3
/
ATOMIC_SPECIES
Pb 207.20 Pb.upf
Os 190.23 Os.upf
Li 6.94 Li.upf
ATOMIC_POSITIONS crystal
Pb 0.500 0.500 0.000
Os 0.000 0.000 0.000
Os 0.000 0.500 0.500
Li 0.500 0.000 0.500
CELL_PARAMETERS angstrom
-4.101 -0.546 -1.673
1.340 -2.637 -2.423
-0.692 -2.729 2.587
```

Calculated values
Crystal system: tetragonal
Magnetization in μB/atom: 0.000
Electronic total energy in eV/atom: -6.2878
E_form in eV per formula unit: 2.93